ReNi | Alexandria | GGA-PBE | optimized geometry; ΔH_f (0 K) = 328 meV per atom; magnetic moment = 0.0 μB/f.u.
1.0
2.956 0.000 0.000
0.000 2.956 0.000
0.000 0.000 2.956
Re Ni
1 1
Cartesian
0.000 0.000 0.000
1.478 1.478 1.478

Ni3SbPt | Alexandria | GGA-PBE | optimized geometry; magnetic moment = 0.0 μB/f.u.; excess energy over the best structure of this formula in the dataset = 0.000 eV/atom; formation energy (no corrections) = -0.079 eV per atom
1.0
6.946 -1.925 0.000
6.946 1.925 0.000
-1.290 0.000 5.201
Ni Sb Pt
6 2 2
Cartesian
-0.267 0.000 1.228
2.270 0.000 1.652
4.387 0.000 5.070
8.215 0.000 0.131
10.332 0.000 3.550
12.869 0.000 3.974
4.757 0.000 2.538
7.845 0.000 2.664
1.649 0.000 4.367
10.953 0.000 0.835

MgNiMo2S | Alexandria | GGA-PBE | optimized geometry; magnetic moment = 3.9 μB/f.u.; excess energy over the best structure of this formula in the dataset = 0.053 eV/atom; formation energy (no corrections) = 1.122 eV per atom
1.0
4.783 0.000 0.000
0.000 4.783 0.000
0.000 0.000 4.020
Mg Ni Mo S
1 1 2 1
Cartesian
0.000 0.000 0.000
2.392 2.392 2.010
0.000 2.392 2.010
2.392 0.000 2.010
2.392 2.392 0.000

- Look up the magnetic moment of the second one.
  0.0 μB/f.u.

- What is the formula in the third record?
  MgNiMo2S

- Which of these has the highest magnetic moment?
  MgNiMo2S